Entry 1:
PBE Zn2HgI, relaxed; space group = No. 122; E_form (uncorrected) = 0.3 eV per formula unit; polymorph energy (0 for the lowest one) = 0.000 eV per atom
1.0
-4.843 -1.234 -5.890
-4.354 -4.501 4.522
-6.546 0.019 0.313
Hg I Zn
2 2 4
direct
0.750 0.250 0.500
0.000 0.000 0.000
0.250 0.750 0.500
0.500 0.500 0.000
0.096 0.625 0.250
0.654 0.125 0.250
0.875 0.904 0.750
0.375 0.346 0.750


Entry 2:
PBE CaLa4Si, relaxed; space group = No. 216; E_form (uncorrected) = 2.0 eV per formula unit
1.0
3.209 2.003 5.379
-0.067 6.354 1.693
-3.367 1.955 5.300
Ca La Si
1 4 1
direct
0.000 0.000 0.000
0.378 0.867 0.378
0.378 0.378 0.378
0.378 0.378 0.867
0.867 0.378 0.378
0.750 0.750 0.750


Values of E, in order: -1.03; -4.18, all in eV/atom.
Values of M_tot, in order: 0.000; 0.008, all in μB/atom.